1.
Al6Pd (PBE, optimized geometry); symmetry = Cmcm, No. 63; ΔH_f (0 K) = -0.20 eV per atom; electronic total energy = -4.15 eV/atom
1.0
3.8360 -3.2232 0.0000
3.8360 3.2232 0.0000
0.0000 0.0000 9.3778
Al Pd
12 2
Cartesian
2.4443 2.0214 2.3444
3.8360 2.3321 5.6595
3.8360 2.3321 8.4072
2.3869 0.0000 0.0000
2.3869 0.0000 4.6889
5.2277 2.0214 2.3444
2.4443 -2.0214 7.0333
5.2851 0.0000 0.0000
5.2851 0.0000 4.6889
3.8360 -2.3321 0.9706
3.8360 -2.3321 3.7183
5.2277 -2.0214 7.0333
3.8360 0.1466 7.0333
3.8360 -0.1466 2.3444


2.
Al2Pd3 (PBE, optimized geometry); symmetry = I4/mmm, No. 139; offset from the most stable computed form = 0 meV per atom; ΔH_f (0 K) = -0.83 eV per atom; electronic total energy = -5.45 eV/atom
1.0
-1.5423 1.5423 7.7202
1.5423 -1.5423 7.7202
1.5423 1.5423 -7.7202
Al Pd
2 3
Cartesian
0.0000 0.0000 1.5820
0.0000 0.0000 13.8584
0.0000 0.0000 4.8119
0.0000 0.0000 7.7202
0.0000 0.0000 10.6285


3.
AlPd (PBE, optimized geometry); symmetry = I4/m, No. 87; ΔH_f (0 K) = -0.61 eV per atom; electronic total energy = -5.08 eV/atom
1.0
-3.9164 3.9164 2.1609
3.9164 -3.9164 2.1609
3.9164 3.9164 -2.1609
Al Pd
4 4
Cartesian
5.7123 0.0212 0.0000
0.0212 2.1204 0.0000
3.8952 1.7960 2.1609
-1.7960 3.8952 2.1609
2.6657 2.4409 0.0000
1.4755 -1.2506 2.1609
2.4409 5.1670 0.0000
1.2506 1.4755 2.1609


4.
AlPd (PBE, optimized geometry); symmetry = Pmmn, No. 59; ΔH_f (0 K) = -0.73 eV per atom; electronic total energy = -5.20 eV/atom
1.0
2.8799 0.0000 0.0000
0.0000 4.7488 0.0000
0.0000 0.0000 4.3994
Al Pd
2 2
Cartesian
0.7200 1.1872 0.5343
2.1599 3.5616 3.8650
0.7200 3.5616 1.6549
2.1599 1.1872 2.7444


5.
AlPd (PBE, optimized geometry); symmetry = P4/m, No. 83; ΔH_f (0 K) = -0.50 eV per atom; electronic total energy = -4.97 eV/atom
1.0
7.7739 0.0000 0.0000
0.0000 7.7739 0.0000
0.0000 0.0000 4.5688
Al Pd
8 8
Cartesian
0.5242 5.2046 0.0000
0.8829 1.9121 2.2844
1.9121 6.8910 2.2844
2.5694 0.5242 0.0000
5.2046 7.2497 0.0000
5.8618 0.8829 2.2844
6.8910 5.8618 2.2844
7.2497 2.5694 0.0000
1.3456 4.5196 2.2844
1.9358 2.8885 0.0000
2.8885 5.8381 0.0000
3.2543 1.3456 2.2844
4.5196 6.4283 2.2844
4.8854 1.9358 0.0000
5.8381 4.8854 0.0000
6.4283 3.2543 2.2844


6.
AlPd (PBE, optimized geometry); symmetry = P6_3/m, No. 176; ΔH_f (0 K) = -0.59 eV per atom; electronic total energy = -5.06 eV/atom
1.0
7.0693 0.0000 0.0000
-3.5346 6.1222 0.0000
0.0000 0.0000 4.6282
Al Pd
6 6
Cartesian
-2.2675 4.7553 1.1570
0.5502 1.7807 1.1570
1.8173 0.4139 3.4711
1.7174 5.7082 1.1570
2.9845 4.3414 3.4711
5.8022 1.3668 3.4711
-1.6253 3.9553 3.4711
0.9218 2.7370 3.4711
2.8312 0.5702 1.1570
0.7034 5.5520 3.4711
2.6128 3.3852 1.1570
5.1599 2.1668 1.1570


7.
Al5Pd (PBE, optimized geometry); symmetry = Cmmm, No. 65; ΔH_f (0 K) = -0.23 eV per atom; electronic total energy = -4.22 eV/atom
1.0
2.2393 -7.8953 0.0000
2.2393 7.8953 0.0000
0.0000 0.0000 2.8193
Al Pd
5 1
Cartesian
0.0000 0.0000 0.0000
2.2393 4.7820 1.4096
2.2393 2.2081 0.0000
2.2393 -2.2081 0.0000
2.2393 -4.7820 1.4096
2.2393 0.0000 1.4096


8.
Al6Pd5 (PBE, optimized geometry); symmetry = Immm, No. 71; ΔH_f (0 K) = -0.80 eV per atom; electronic total energy = -5.21 eV/atom
1.0
-2.1405 3.0883 6.3649
2.1405 -3.0883 6.3649
2.1405 3.0883 -6.3649
Al Pd
6 5
Cartesian
2.1405 1.4897 -2.0339
0.0000 1.4452 0.0000
2.1405 1.4897 2.0339
0.0000 1.5986 4.3310
0.0000 4.7315 0.0000
0.0000 1.5986 8.3988
0.0000 0.0000 2.1537
2.1405 0.0000 4.2235
0.0000 0.0000 6.3649
0.0000 3.0883 2.1414
0.0000 0.0000 10.5761


9.
AlPd (PBE, optimized geometry); symmetry = P-62m, No. 189; ΔH_f (0 K) = -0.64 eV per atom; electronic total energy = -5.10 eV/atom
1.0
5.4478 0.0000 0.0000
-2.7239 4.7180 0.0000
0.0000 0.0000 4.0893
Al Pd
3 3
Cartesian
0.0000 0.0000 0.0000
0.0000 3.1453 2.0446
2.7239 1.5726 2.0446
-1.4471 2.5065 0.0000
1.2768 2.2115 0.0000
2.8942 0.0000 0.0000


10.
AlPd (PBE, optimized geometry); symmetry = Fddd, No. 70; ΔH_f (0 K) = -0.76 eV per atom; electronic total energy = -5.23 eV/atom
1.0
0.0000 5.5348 7.3251
1.4805 0.0000 7.3251
1.4805 5.5348 0.0000
Al Pd
4 4
Cartesian
1.1104 0.1479 5.4938
1.8506 2.9153 9.1563
1.1104 8.1543 5.4938
1.8506 10.9217 9.1563
1.1104 4.1511 3.9867
1.1104 4.1511 7.0009
1.8506 6.9185 7.6492
1.8506 6.9185 10.6635


11.
AlPd4 (PBE, optimized geometry); symmetry = I4_1/amd, No. 141; offset from the most stable computed form = 120 meV per atom; ΔH_f (0 K) = -0.26 eV per atom; electronic total energy = -5.16 eV/atom
1.0
-3.8220 3.8220 2.8387
3.8220 -3.8220 2.8387
3.8220 3.8220 -2.8387
Al Pd
2 8
Cartesian
3.8220 1.9110 0.7097
0.0000 1.9110 2.1290
3.8220 -0.3675 1.3594
3.8220 3.4545 -1.3594
1.5435 1.9110 0.0599
2.2785 -1.9110 2.8986
1.5435 5.7330 -0.0599
2.2785 1.9110 2.7787
0.0000 0.3675 4.1981
0.0000 4.1895 1.4793


12.
PmAl4Pd8 (PBE, optimized geometry); symmetry = I4/mmm, No. 139; ΔH_f (0 K) = -0.81 eV per atom; electronic total energy = -5.52 eV/atom
1.0
-4.4228 4.4228 2.6910
4.4228 -4.4228 2.6910
4.4228 4.4228 -2.6910
Pm Al Pd
1 4 8
Cartesian
0.0000 0.0000 0.0000
2.2114 2.2114 -1.3455
2.2114 -2.2114 1.3455
-2.2114 2.2114 1.3455
2.2114 2.2114 1.3455
2.9863 0.0000 0.0000
5.8594 0.0000 0.0000
4.4228 2.4442 0.0000
0.0000 2.9863 0.0000
2.4442 4.4228 0.0000
1.9786 0.0000 2.6910
0.0000 5.8594 0.0000
0.0000 1.9786 2.6910


13.
PmAl6Pd3 (PBE, optimized geometry); symmetry = P2_1/m, No. 11; ΔH_f (0 K) = -0.69 eV per atom; electronic total energy = -4.97 eV/atom
1.0
8.6632 0.0000 0.0000
0.0000 4.3253 0.0000
-0.6833 0.0000 9.5790
Pm Al Pd
2 12 6
Cartesian
0.2437 1.0813 2.8712
7.7362 3.2440 6.7078
0.9784 3.2440 0.3372
1.2506 1.0813 6.0114
2.4529 3.2440 2.5696
2.1768 3.2440 7.5942
3.3880 1.0813 4.1064
3.4561 1.0813 8.7162
4.5239 3.2440 0.8628
4.5919 3.2440 5.4726
5.8032 1.0813 1.9848
5.5271 1.0813 7.0094
6.7294 3.2440 3.5675
7.0016 1.0813 9.2418
0.8801 1.0813 8.5688
2.0551 3.2440 4.9977
3.2238 1.0813 1.4697
4.7562 3.2440 8.1092
5.9248 1.0813 4.5812
7.0998 3.2440 1.0102


14.
PmAl2Pd2 (PBE, optimized geometry); symmetry = P4/nmm, No. 129; offset from the most stable computed form = 0 meV per atom; ΔH_f (0 K) = -0.86 eV per atom; electronic total energy = -5.39 eV/atom
1.0
4.3618 0.0000 0.0000
0.0000 4.3618 0.0000
0.0000 0.0000 10.1189
Pm Al Pd
2 4 4
Cartesian
1.0905 1.0905 2.5237
3.2714 3.2714 7.5952
1.0905 1.0905 8.8462
1.0905 3.2714 5.0594
3.2714 1.0905 5.0594
3.2714 3.2714 1.2727
1.0905 1.0905 6.3738
1.0905 3.2714 0.0000
3.2714 1.0905 0.0000
3.2714 3.2714 3.7451


15.
PmAl4Pd (PBE, optimized geometry); symmetry = Cmcm, No. 63; ΔH_f (0 K) = -0.62 eV per atom; electronic total energy = -4.77 eV/atom
1.0
2.1287 -7.9597 0.0000
2.1287 7.9597 0.0000
0.0000 0.0000 6.7182
Pm Al Pd
2 8 2
Cartesian
2.1287 6.1309 5.0386
2.1287 -6.1309 1.6795
2.1287 6.8138 1.6795
2.1287 2.9070 3.7095
2.1287 2.9070 6.3678
2.1287 0.0000 0.0000
2.1287 0.0000 3.3591
2.1287 -2.9070 0.3504
2.1287 -2.9070 3.0087
2.1287 -6.8138 5.0386
2.1287 4.3818 1.6795
2.1287 -4.3818 5.0386


16.
Pm3Al2Pd3 (PBE, optimized geometry); symmetry = Cmcm, No. 63; offset from the most stable computed form = 0 meV per atom; ΔH_f (0 K) = -0.79 eV per atom; electronic total energy = -5.46 eV/atom
1.0
2.1782 -5.7104 0.0000
2.1782 5.7104 0.0000
0.0000 0.0000 14.2738
Pm Al Pd
6 4 6
Cartesian
2.1782 4.8716 8.7096
2.1782 4.8716 12.7012
2.1782 1.6663 10.7054
2.1782 -1.6663 3.5685
2.1782 -4.8716 1.5727
2.1782 -4.8716 5.5642
2.1782 3.1829 1.1807
2.1782 3.1829 5.9562
2.1782 -3.1829 8.3176
2.1782 -3.1829 13.0931
2.1782 1.9336 3.5685
2.1782 1.2849 7.7509
2.1782 1.2849 13.6598
2.1782 -1.2849 0.6140
2.1782 -1.2849 6.5229
2.1782 -1.9336 10.7054


17.
PmAl12Pd4 (PBE, optimized geometry); symmetry = Im-3, No. 204; ΔH_f (0 K) = -0.20 eV per atom; electronic total energy = -4.35 eV/atom
1.0
-4.3892 4.3892 4.3892
4.3892 -4.3892 4.3892
4.3892 4.3892 -4.3892
Pm Al Pd
1 12 4
Cartesian
0.0000 0.0000 0.0000
3.0138 1.3920 0.0000
5.7645 1.3920 0.0000
4.3892 -1.3753 2.9972
2.9972 4.3892 -1.3753
1.3920 0.0000 3.0138
4.3892 1.3753 2.9972
0.0000 3.0138 1.3920
2.9972 4.3892 1.3753
1.3920 0.0000 5.7645
0.0000 5.7645 1.3920
-1.3753 2.9972 4.3892
1.3753 2.9972 4.3892
2.1946 2.1946 -2.1946
2.1946 -2.1946 2.1946
-2.1946 2.1946 2.1946
2.1946 2.1946 2.1946


18.
PmAl2Pd (PBE, optimized geometry); symmetry = Pnma, No. 62; offset from the most stable computed form = 22 meV per atom; ΔH_f (0 K) = -0.73 eV per atom; electronic total energy = -5.09 eV/atom
1.0
16.0654 0.0000 0.0000
0.0000 6.9656 0.0000
0.0000 0.0000 5.7581
Pm Al Pd
8 16 8
Cartesian
1.7040 1.7414 1.4312
2.2850 5.2242 0.1176
5.7477 1.7414 2.9966
6.3287 5.2242 4.3103
9.7367 1.7414 1.4478
10.3178 5.2242 2.7615
13.7804 1.7414 5.6405
14.3615 5.2242 4.3269
0.6069 0.3880 4.2466
0.6069 3.0948 4.2466
3.4168 3.8707 3.0688
3.4168 6.5777 3.0688
4.6160 0.3879 0.1898
4.6160 3.0949 0.1898
7.4258 3.8708 1.3676
7.4258 6.5776 1.3676
8.6396 0.3880 4.3905
8.6396 3.0948 4.3905
11.4495 3.8707 5.5683
11.4495 6.5777 5.5683
12.6487 0.3879 2.6893
12.6487 3.0949 2.6893
15.4586 3.8708 1.5115
15.4586 6.5776 1.5115
1.1606 5.2242 2.9028
2.8714 1.7414 4.4384
5.1613 5.2242 1.5593
6.8722 1.7414 0.0238
9.1933 5.2242 5.7343
10.9042 1.7414 4.1988
13.1940 5.2242 1.3197
14.9049 1.7414 2.8553


19.
PmAlPd2 (PBE, optimized geometry); symmetry = Pnma, No. 62; ΔH_f (0 K) = -0.89 eV per atom; electronic total energy = -5.61 eV/atom
1.0
7.4622 0.0000 0.0000
0.0000 7.1167 0.0000
0.0000 0.0000 5.8425
Pm Al Pd
4 4 8
Cartesian
0.2308 1.7792 0.8849
3.5004 5.3375 3.8062
3.9619 1.7792 2.0363
7.2315 5.3375 4.9576
0.8738 5.3375 2.0398
2.8573 1.7792 4.9610
4.6049 5.3375 0.8814
6.5884 1.7792 3.8027
1.3378 0.3733 3.4349
1.3378 3.1850 3.4349
2.3933 3.9317 0.5136
2.3933 6.7433 0.5136
5.0689 0.3733 5.3289
5.0689 3.1850 5.3289
6.1244 3.9317 2.4076
6.1244 6.7433 2.4076